Compound: Na5Sn2Pd
Source: Alexandria
Functional: GGA-PBE
Structure: relaxed

Properties
The value obtained for the total magnetization is 0.00 μB/f.u. The formation energy is -0.18 eV per atom.

```
data_Na5Sn2Pd
_symmetry_space_group_name_H-M 'P b a m'
_symmetry_Int_Tables_number 55
_cell_length_a 7.686
_cell_length_b 14.324
_cell_length_c 3.727
_cell_angle_alpha 90.00
_cell_angle_beta 90.00
_cell_angle_gamma 90.00
loop_
_symmetry_equiv_pos_as_xyz
'x,y,z'
'-x,-y,-z'
'-x,-y,z'
'x,y,-z'
'x+1/2,-y+1/2,-z'
'-x+1/2,y+1/2,z'
'-x+1/2,y+1/2,-z'
'x+1/2,-y+1/2,z'
loop_
_atom_site_label
_atom_site_type_symbol
_atom_site_fract_x
_atom_site_fract_y
_atom_site_fract_z
Na1 Na 0.000 0.000 0.000
Na2 Na 0.029 0.237 0.000
Na3 Na 0.225 0.385 0.500
Sn1 Sn 0.192 0.607 0.500
Pd1 Pd 0.000 0.500 0.000
```

***

Compound: Al2PtCCl
Source: Alexandria
Functional: GGA-PBE
Structure: relaxed

Properties
The value obtained for the total magnetization is 2.50 μB/f.u. For the uncorrected formation energy, the calculation gives 6.07 eV/f.u.

```
data_Al2PtCCl
_symmetry_space_group_name_H-M 'P 4/m m m'
_symmetry_Int_Tables_number 123
_symmetry_space_group_name_Hall '-P 4 2'
_cell_length_a 4.837
_cell_length_b 4.837
_cell_length_c 4.955
_cell_angle_alpha 90.00
_cell_angle_beta 90.00
_cell_angle_gamma 90.00
loop_
_atom_site_label
_atom_site_type_symbol
_atom_site_fract_x
_atom_site_fract_y
_atom_site_fract_z
Al1 Al 0.000 0.500 0.000
Pt1 Pt 0.000 0.000 0.000
C1 C 0.500 0.500 0.500
Cl1 Cl 0.000 0.000 0.500
```

***

Compound: CoIrOs
Source: Alexandria
Functional: GGA-PBE
Structure: relaxed

Properties
The value obtained for the total magnetization is 1.92 μB/f.u. The formation energy is 0.59 eV per atom.

```
data_CoIrOs
_symmetry_space_group_name_H-M 'F -4 3 m'
_symmetry_Int_Tables_number 216
_symmetry_space_group_name_Hall 'F -4 2 3'
_cell_length_a 5.780
_cell_length_b 5.780
_cell_length_c 5.780
_cell_angle_alpha 90.00
_cell_angle_beta 90.00
_cell_angle_gamma 90.00
loop_
_atom_site_label
_atom_site_type_symbol
_atom_site_fract_x
_atom_site_fract_y
_atom_site_fract_z
Co1 Co 0.000 0.000 0.000
Ir1 Ir 0.000 0.000 0.500
Os1 Os 0.250 0.250 0.750
```

***

Compound: LiPmEu
Source: Alexandria
Functional: GGA-PBE
Structure: relaxed

Properties
The value obtained for the total magnetization is 7.93 μB/f.u. The formation energy is 0.11 eV per atom.

```
data_LiPmEu
_symmetry_space_group_name_H-M 'I 4 m m'
_symmetry_Int_Tables_number 107
_symmetry_space_group_name_Hall 'I 4 -2'
_cell_length_a 3.825
_cell_length_b 3.825
_cell_length_c 13.135
_cell_angle_alpha 90.00
_cell_angle_beta 90.00
_cell_angle_gamma 90.00
loop_
_atom_site_label
_atom_site_type_symbol
_atom_site_fract_x
_atom_site_fract_y
_atom_site_fract_z
Li1 Li 0.000 0.000 0.000
Pm1 Pm 0.000 0.000 0.644
Eu1 Eu 0.000 0.000 0.345
```

***

Compound: Cr2W
Source: Alexandria
Functional: GGA-PBE
Structure: relaxed

Properties
The value obtained for the total magnetization is 0.00 μB/f.u. The formation energy is 0.08 eV per atom.

```
data_Cr2W
_symmetry_space_group_name_H-M 'C 1 2/m 1'
_symmetry_Int_Tables_number 12
_cell_length_a 9.369
_cell_length_b 2.996
_cell_length_c 5.967
_cell_angle_alpha 90.00
_cell_angle_beta 107.76
_cell_angle_gamma 90.00
loop_
_symmetry_equiv_pos_as_xyz
'x,y,z'
'-x,-y,-z'
'-x,y,-z'
'x,-y,z'
'x+1/2,y+1/2,z'
'-x+1/2,-y+1/2,-z'
'-x+1/2,y+1/2,-z'
'x+1/2,-y+1/2,z'
loop_
_atom_site_label
_atom_site_type_symbol
_atom_site_fract_x
_atom_site_fract_y
_atom_site_fract_z
Cr1 Cr 0.000 0.000 0.000
Cr2 Cr 0.000 0.000 0.500
Cr3 Cr 0.166 0.500 0.338
W1 W 0.163 0.500 0.824
```

***

Compound: CsDyCoCl6
Source: Alexandria
Functional: GGA-PBE
Structure: relaxed

Properties
The value obtained for the total magnetization is 3.00 μB/f.u. For the uncorrected formation energy, the calculation gives -14.92 eV/f.u.

```
data_CsDyCoCl6
_symmetry_space_group_name_H-M 'C 1 2 1'
_symmetry_Int_Tables_number 5
_cell_length_a 6.699
_cell_length_b 11.618
_cell_length_c 7.830
_cell_angle_alpha 90.00
_cell_angle_beta 90.24
_cell_angle_gamma 90.00
loop_
_symmetry_equiv_pos_as_xyz
'x,y,z'
'-x,y,-z'
'x+1/2,y+1/2,z'
'-x+1/2,y+1/2,-z'
loop_
_atom_site_label
_atom_site_type_symbol
_atom_site_fract_x
_atom_site_fract_y
_atom_site_fract_z
Cs1 Cs 0.000 0.000 0.000
Dy1 Dy 0.000 0.334 0.500
Co1 Co 0.000 0.667 0.500
Cl1 Cl 0.117 0.510 0.690
Cl2 Cl 0.173 0.806 0.686
Cl3 Cl 0.203 0.183 0.687
```

***

Compound: V2WSe4S2
Source: Alexandria
Functional: GGA-PBE
Structure: relaxed

Properties
The value obtained for the total magnetization is 1.90 μB/f.u. For the uncorrected formation energy, the calculation gives -6.61 eV/f.u.

```
data_V2WSe4S2
_symmetry_space_group_name_H-M 'P 3 m 1'
_symmetry_Int_Tables_number 156
_cell_length_a 3.2785
_cell_length_b 3.2785
_cell_length_c 21.2517
_cell_angle_alpha 90.00
_cell_angle_beta 90.00
_cell_angle_gamma 120.00
loop_
_symmetry_equiv_pos_as_xyz
'x,y,z'
'-y,x-y,z'
'-x+y,-x,z'
'-y,-x,z'
'-x+y,y,z'
'x,x-y,z'
loop_
_atom_site_label
_atom_site_type_symbol
_atom_site_fract_x
_atom_site_fract_y
_atom_site_fract_z
V1 V 0.0000 0.0000 0.0000
V2 V 0.3333 0.6667 0.3274
W1 W 0.3333 0.6667 0.6755
Se1 Se 0.0000 0.0000 0.2513
Se2 Se 0.0000 0.0000 0.4036
Se3 Se 0.3333 0.6667 0.0761
Se4 Se 0.3333 0.6667 0.9239
S1 S 0.0000 0.0000 0.6029
S2 S 0.0000 0.0000 0.7480
```

***

Compound: FePbBr2
Source: Alexandria
Functional: GGA-PBE
Structure: relaxed

Properties
The value obtained for the total magnetization is 3.51 μB/f.u. For the uncorrected formation energy, the calculation gives 0.29 eV/f.u.

```
data_FePbBr2
_symmetry_space_group_name_H-M 'P 4/m m m'
_symmetry_Int_Tables_number 123
_symmetry_space_group_name_Hall '-P 4 2'
_cell_length_a 3.321
_cell_length_b 3.321
_cell_length_c 9.171
_cell_angle_alpha 90.00
_cell_angle_beta 90.00
_cell_angle_gamma 90.00
loop_
_atom_site_label
_atom_site_type_symbol
_atom_site_fract_x
_atom_site_fract_y
_atom_site_fract_z
Fe1 Fe 0.000 0.000 0.000
Pb1 Pb 0.000 0.000 0.500
Br1 Br 0.500 0.500 0.177
```